# 1
# Zr3Bi

A relaxed structure of Zr3Bi (GGA-PBE, the Open Quantum Materials Database).

Summary:
total energy: -120.95 eV per cell
total magnetization: 0.0 μB/f.u.

Unit cell a=6.0944 b=11.3962 c=5.4488 alpha=90.00 beta=90.00 gamma=90.00
Last column: nearest neighbours and their distance in Å.
Space group Cmcm (No. 63)
One atom of each set of equivalent atoms:
1 Zr 0.0000 0.0816 0.2500 x4  2 Bi 3.05, 10 Zr 3.20-3.30
2 Zr 0.2489 0.1661 0.7500 x8  8 Zr 3.03-3.33, 4 Bi 3.13-3.33
3 Bi 0.0000 0.4067 0.7500 x4  10 Zr 3.05-3.33

# 2
# LaHfBe

A relaxed structure of LaHfBe (GGA-PBE, the Open Quantum Materials Database).

Summary:
total energy: -62.91 eV per cell
total magnetization: 0.7 μB/f.u.
ΔE to the lowest computed polymorph: 0.000 eV/atom

Unit cell a=6.5896 b=6.5896 c=6.5896 alpha=90.00 beta=90.00 gamma=90.00
Last column: nearest neighbours and their distance in Å.
Space group F-43m (No. 216)
One atom of each set of equivalent atoms:
1 La 0.0000 0.0000 0.0000 x4  4 Hf 2.85
2 Hf 0.2500 0.2500 0.7500 x4  4 La 2.85, 4 Be 2.85
3 Be 0.0000 0.0000 0.5000 x4  4 Hf 2.85

# 3
# TbPrBr3N

A relaxed structure of TbPrBr3N (GGA-PBE, the Open Quantum Materials Database).

Summary:
total energy: -135.01 eV per cell
total magnetization: 0.0 μB/f.u.
ΔE to the lowest computed polymorph: 0.000 eV/atom

Unit cell a=18.1197 b=4.0108 c=11.6831 alpha=90.00 beta=123.20 gamma=90.00
Last column: nearest neighbours and their distance in Å.
Space group C2/m (No. 12)
One atom of each set of equivalent atoms:
1 Tb 0.0757 0.0000 0.4590 x4  2 N 2.25
2 Pr 0.1362 0.5000 0.7852 x4  2 N 2.43
3 Br 0.0446 0.5000 0.2548 x4  2 Tb 2.93, 1 Pr 3.04
4 Br 0.1640 0.0000 0.0113 x4  3 Pr 3.06-3.13
5 Br 0.2150 0.5000 0.6119 x4  2 Tb 2.94, 1 Pr 3.05
6 N 0.0719 0.0000 0.6484 x4  2 Tb 2.25, 2 Pr 2.43